1:
DFT (PBE) results for an optimized crystal structure of HfIn2Hg2.

Values from the calculation:
Magnetization, μB/atom: 0.00

Cell: 8.1665 8.1665 3.5434 Å, 90.00 90.00 90.00°
With the nearest neighbours (Å) after each atom.
Fractional coordinates of all 10 atoms:
Hf1 0.0000 0.0000 0.0000  4 In 3.17, 8 Hg 3.52, 2 Hf 3.54
Hf2 0.5000 0.5000 0.0000  4 In 3.17, 8 Hg 3.52, 2 Hf 3.54
Hg1 0.1671 0.6671 0.5000  6 In 2.88-3.06
Hg2 0.6671 0.8329 0.5000  6 In 2.88-3.06
Hg3 0.8329 0.3329 0.5000  6 In 2.88-3.06
Hg4 0.3329 0.1671 0.5000  6 In 2.88-3.06
In1 0.3639 0.8639 0.0000  6 Hg 2.88-3.06, 1 In 3.14, 2 Hf 3.17
In2 0.8639 0.6361 0.0000  6 Hg 2.88-3.06, 1 In 3.14, 2 Hf 3.17
In3 0.6361 0.1361 0.0000  6 Hg 2.88-3.06, 1 In 3.14, 2 Hf 3.17
In4 0.1361 0.3639 0.0000  6 Hg 2.88-3.06, 1 In 3.14, 2 Hf 3.17

2:
DFT (PBE) results for an optimized crystal structure of HfIn2Hg2.

Values from the calculation:
Magnetization, μB/atom: 0.00

Cell: 8.0436 8.0436 3.6549 Å, 90.00 90.00 90.00°
With the nearest neighbours (Å) after each atom.
Fractional coordinates of all 10 atoms:
Hf1 0.0000 0.0000 0.0000  4 Hg 3.14, 8 In 3.50
Hf2 0.5000 0.5000 0.0000  4 Hg 3.14, 8 In 3.50
Hg1 0.3673 0.8673 0.0000  6 In 2.88-3.07, 1 Hg 3.02, 2 Hf 3.14
Hg2 0.8673 0.6327 0.0000  6 In 2.88-3.07, 1 Hg 3.02, 2 Hf 3.14
Hg3 0.6327 0.1327 0.0000  6 In 2.88-3.07, 1 Hg 3.02, 2 Hf 3.14
Hg4 0.1327 0.3673 0.0000  6 In 2.88-3.07, 1 Hg 3.02, 2 Hf 3.14
In1 0.1717 0.6717 0.5000  6 Hg 2.88-3.07
In2 0.6717 0.8283 0.5000  6 Hg 2.88-3.07
In3 0.8283 0.3283 0.5000  6 Hg 2.88-3.07
In4 0.3283 0.1717 0.5000  6 Hg 2.88-3.07

Which structure is the most stable? The one labeled 2.